{
  "formula": "HfFeCoSi",
  "functional": "PBE-GGA",
  "state": "optimized geometry",
  "dos_ef_per_ev_cell": 2.0,
  "m_tot_mub_per_cell": 1.01,
  "mass_density_g_cm3": 10.281,
  "formation_energy_uncorrected_mev_per_atom": -518,
  "cell": [[0.000, 2.961, 2.961], [2.961, 0.000, 2.961], [2.961, 2.961, 0.000]],
  "species": ["Hf", "Fe", "Co", "Si"],
  "fractional_positions": [[0.000, 0.000, 0.000], [0.750, 0.750, 0.750], [0.250, 0.250, 0.250], [0.500, 0.500, 0.500]]
}